# HfVRuO2

HfVRuO2 after structural relaxation (PBE+U, Alexandria).

Cell lengths 3.7807, 3.7807, 5.7765 Å; angles 90.00, 90.00, 90.00 degrees
Space group P4/mmm (No. 123)
Unique sites:
Hf 0.0000 0.0000 0.0000
V 0.5000 0.5000 0.0000
Ru 0.0000 0.0000 0.5000
O 0.0000 0.5000 0.5000

Calculated values
total DFT energy (no corrections): -6.738 eV per atom